Entry 1:
# InPd5Au

InPd5Au after structural relaxation (PBE, Alexandria via LeMat-Bulk).

Lattice parameters (Å, degrees): 5.3665 5.3665 10.1121 96.58 96.58 57.73
With the nearest neighbours (Å) after each atom.
Atoms (fractional coordinates):
In (0.2224, 0.7776, 0.7500)  6 Pd 2.56-2.77
In (0.7776, 0.2224, 0.2500)  6 Pd 2.56-2.77
Pd (0.1351, 0.1594, 0.5468)  5 Pd 2.71-2.96, 1 In 2.89, 2 Au 2.89-3.00
Pd (0.1594, 0.1351, 0.0468)  5 Pd 2.71-2.96, 1 In 2.89, 2 Au 2.89-3.00
Pd (0.2358, 0.2870, 0.8144)  7 Pd 2.71-2.96, 1 Au 2.73, 2 In 2.75-2.77
Pd (0.2716, 0.7284, 0.2500)  2 In 2.56-2.62, 4 Pd 2.75-2.77, 2 Au 2.79
Pd (0.2870, 0.2358, 0.3144)  7 Pd 2.71-2.96, 1 Au 2.73, 2 In 2.75-2.77
Pd (0.7130, 0.7642, 0.6856)  7 Pd 2.71-2.96, 1 Au 2.73, 2 In 2.75-2.77
Pd (0.7284, 0.2716, 0.7500)  2 In 2.56-2.62, 4 Pd 2.75-2.77, 2 Au 2.79
Pd (0.7642, 0.7130, 0.1856)  7 Pd 2.71-2.96, 1 Au 2.73, 2 In 2.75-2.77
Pd (0.8406, 0.8649, 0.9532)  5 Pd 2.71-2.96, 1 In 2.89, 2 Au 2.89-3.00
Pd (0.8649, 0.8406, 0.4532)  5 Pd 2.71-2.96, 1 In 2.89, 2 Au 2.89-3.00
Au (0.5000, 0.5000, 0.0000)  8 Pd 2.73-3.00, 2 In 2.91
Au (0.5000, 0.5000, 0.5000)  8 Pd 2.73-3.00, 2 In 2.91

Entry 2:
# In2Pd7Au

In2Pd7Au after structural relaxation (PBE, Alexandria via LeMat-Bulk).

Lattice parameters (Å, degrees): 8.0226 8.0226 4.0301 90.00 90.00 125.60
With the nearest neighbours (Å) after each atom.
Atoms (fractional coordinates):
In (0.1931, 0.8069, 0.0000)  5 Pd 2.63-2.76
In (0.8069, 0.1931, 0.0000)  5 Pd 2.63-2.76
Pd (0.0000, 0.0000, 0.0000)  4 Pd 2.71, 2 In 2.76
Pd (0.2137, 0.4135, 0.0000)  1 In 2.66, 5 Pd 2.71-2.85, 2 Au 2.82
Pd (0.3111, 0.6889, 0.5000)  2 In 2.63, 1 Au 2.70, 4 Pd 2.75
Pd (0.4135, 0.2137, 0.0000)  1 In 2.66, 5 Pd 2.71-2.85, 2 Au 2.82
Pd (0.5865, 0.7863, 0.0000)  1 In 2.66, 5 Pd 2.71-2.85, 2 Au 2.82
Pd (0.6889, 0.3111, 0.5000)  2 In 2.63, 1 Au 2.70, 4 Pd 2.75
Pd (0.7863, 0.5865, 0.0000)  1 In 2.66, 5 Pd 2.71-2.85, 2 Au 2.82
Au (0.5000, 0.5000, 0.5000)  10 Pd 2.70-2.82

Entry 3:
# In2PdAu3

In2PdAu3 after structural relaxation (PBE, Alexandria via LeMat-Bulk).

Lattice parameters (Å, degrees): 3.0970 3.9404 9.7516 90.00 90.00 90.00
With the nearest neighbours (Å) after each atom.
Atoms (fractional coordinates):
In (0.0000, 0.0000, 0.0000)  8 Au 2.91-2.94, 2 In 3.10
In (0.0000, 0.5000, 0.4748)  4 Pd 2.79, 4 Au 2.98, 2 In 3.10
Pd (0.5000, 0.0000, 0.3502)  3 Au 2.76-2.83, 4 In 2.79
Au (0.5000, 0.0000, 0.6403)  4 Au 2.79-3.10, 1 Pd 2.83, 4 In 2.98
Au (0.5000, 0.5000, 0.1516)  2 Pd 2.76, 4 In 2.91, 1 Au 3.01
Au (0.5000, 0.5000, 0.8426)  5 Au 2.79-3.10, 4 In 2.94

Entry 4:
# InPd2Au

InPd2Au after structural relaxation (PBE, Alexandria via LeMat-Bulk).

Lattice parameters (Å, degrees): 4.1876 4.1876 3.9075 90.00 90.00 90.00
With the nearest neighbours (Å) after each atom.
Atoms (fractional coordinates):
In (0.0000, 0.0000, 0.0000)  8 Pd 2.86, 4 Au 2.96
Pd (0.0000, 0.5000, 0.5000)  4 In 2.86, 4 Au 2.86, 4 Pd 2.96
Pd (0.5000, 0.0000, 0.5000)  4 In 2.86, 4 Au 2.86, 4 Pd 2.96
Au (0.5000, 0.5000, 0.0000)  8 Pd 2.86, 4 In 2.96

Entry 5:
# InPd6Au

InPd6Au after structural relaxation (PBE, Alexandria via LeMat-Bulk).

Lattice parameters (Å, degrees): 5.6797 5.6797 4.6574 90.00 90.00 120.00
With the nearest neighbours (Å) after each atom.
Atoms (fractional coordinates):
In (0.0000, 0.0000, 0.0000)  12 Pd 2.84-2.86
Pd (0.0008, 0.5004, 0.0000)  8 Pd 2.83-2.85, 2 In 2.84, 2 Au 2.85
Pd (0.1680, 0.3361, 0.5000)  8 Pd 2.82-2.86, 2 Au 2.84, 2 In 2.86
Pd (0.1680, 0.8320, 0.5000)  8 Pd 2.82-2.86, 2 Au 2.84, 2 In 2.86
Pd (0.4996, 0.5004, 0.0000)  8 Pd 2.83-2.85, 2 In 2.84, 2 Au 2.85
Pd (0.4996, 0.9992, 0.0000)  8 Pd 2.83-2.85, 2 In 2.84, 2 Au 2.85
Pd (0.6639, 0.8320, 0.5000)  8 Pd 2.82-2.86, 2 Au 2.84, 2 In 2.86
Au (0.6667, 0.3333, 0.5000)  12 Pd 2.84-2.85

Entry 6:
# In3Pd6Au

In3Pd6Au after structural relaxation (PBE, Alexandria via LeMat-Bulk).

Lattice parameters (Å, degrees): 7.6522 4.7553 10.1109 90.00 111.71 90.00
With the nearest neighbours (Å) after each atom.
Atoms (fractional coordinates):
In (0.0715, 0.2500, 0.2215)  8 Pd 2.73-2.87, 1 Au 2.94
In (0.2985, 0.2500, 0.0161)  11 Pd 2.77-3.00
In (0.3316, 0.7500, 0.3829)  9 Pd 2.74-2.94, 1 Au 2.95
In (0.6684, 0.2500, 0.6171)  9 Pd 2.74-2.94, 1 Au 2.95
In (0.7015, 0.7500, 0.9839)  11 Pd 2.77-3.00
In (0.9285, 0.7500, 0.7785)  8 Pd 2.73-2.87, 1 Au 2.94
Pd (0.0820, 0.2500, 0.7229)  4 In 2.80-2.94, 3 Au 2.83-2.88, 5 Pd 2.89-3.01
Pd (0.1092, 0.7500, 0.0758)  7 In 2.81-2.96, 5 Pd 2.87-3.00
Pd (0.2830, 0.2500, 0.5203)  4 In 2.74-2.85, 3 Au 2.83-2.87, 3 Pd 2.88-2.98
Pd (0.3120, 0.7500, 0.8728)  4 In 2.73-2.81, 1 Au 2.82, 7 Pd 2.86-3.01
Pd (0.4735, 0.2500, 0.3156)  5 In 2.80-2.86, 6 Pd 2.83-3.10, 1 Au 2.89
Pd (0.4877, 0.2500, 0.8234)  4 In 2.82-3.00, 8 Pd 2.83-2.89
Pd (0.5123, 0.7500, 0.1766)  4 In 2.82-3.00, 8 Pd 2.83-2.89
Pd (0.5265, 0.7500, 0.6844)  5 In 2.80-2.86, 6 Pd 2.83-3.10, 1 Au 2.89
Pd (0.6880, 0.2500, 0.1272)  4 In 2.73-2.81, 1 Au 2.82, 7 Pd 2.86-3.01
Pd (0.7170, 0.7500, 0.4797)  4 In 2.74-2.85, 3 Au 2.83-2.87, 3 Pd 2.88-2.98
Pd (0.8908, 0.2500, 0.9242)  7 In 2.81-2.96, 5 Pd 2.87-3.00
Pd (0.9180, 0.7500, 0.2771)  4 In 2.80-2.94, 3 Au 2.83-2.88, 5 Pd 2.89-3.01
Au (0.1201, 0.7500, 0.5750)  8 Pd 2.82-2.89, 2 In 2.94-2.95, 2 Au 3.04
Au (0.8799, 0.2500, 0.4250)  8 Pd 2.82-2.89, 2 In 2.94-2.95, 2 Au 3.04

Entry 7:
# In2PdAu5

In2PdAu5 after structural relaxation (PBE, Alexandria via LeMat-Bulk).

Lattice parameters (Å, degrees): 5.9066 11.8614 4.2161 90.00 90.00 90.00
With the nearest neighbours (Å) after each atom.
Atoms (fractional coordinates):
In (0.2381, 0.1183, 0.0000)  10 Au 2.89-3.02, 2 Pd 2.90
In (0.2619, 0.6183, 0.0000)  10 Au 2.89-3.02, 2 Pd 2.90
In (0.7381, 0.3817, 0.0000)  10 Au 2.89-3.02, 2 Pd 2.90
In (0.7619, 0.8817, 0.0000)  10 Au 2.89-3.02, 2 Pd 2.90
Pd (0.0000, 0.0000, 0.5000)  4 In 2.90, 8 Au 2.95-2.99
Pd (0.5000, 0.5000, 0.5000)  4 In 2.90, 8 Au 2.95-2.99
Au (0.0000, 0.5000, 0.5000)  6 Au 2.95-2.98, 2 Pd 2.95, 4 In 2.97
Au (0.0046, 0.7487, 0.5000)  7 Au 2.95-2.96, 1 Pd 2.98, 4 In 3.00-3.02
Au (0.2489, 0.3722, 0.0000)  4 In 2.89-3.02, 6 Au 2.95-2.98, 2 Pd 2.99
Au (0.2511, 0.8722, 0.0000)  4 In 2.89-3.02, 6 Au 2.95-2.98, 2 Pd 2.99
Au (0.4954, 0.2487, 0.5000)  7 Au 2.95-2.96, 1 Pd 2.98, 4 In 3.00-3.02
Au (0.5000, 0.0000, 0.5000)  6 Au 2.95-2.98, 2 Pd 2.95, 4 In 2.97
Au (0.5046, 0.7513, 0.5000)  7 Au 2.95-2.96, 1 Pd 2.98, 4 In 3.00-3.02
Au (0.7489, 0.1278, 0.0000)  4 In 2.89-3.02, 6 Au 2.95-2.98, 2 Pd 2.99
Au (0.7511, 0.6278, 0.0000)  4 In 2.89-3.02, 6 Au 2.95-2.98, 2 Pd 2.99
Au (0.9954, 0.2513, 0.5000)  7 Au 2.95-2.96, 1 Pd 2.98, 4 In 3.00-3.02

Entry 8:
# InPd12Au7

InPd12Au7 after structural relaxation (PBE, Alexandria via LeMat-Bulk).

Lattice parameters (Å, degrees): 7.1028 7.1028 7.1028 100.95 100.95 100.95
With the nearest neighbours (Å) after each atom.
Atoms (fractional coordinates):
In (0.0000, 0.0000, 0.0000)  6 Pd 2.82, 6 Au 2.94
Pd (0.0000, 0.2576, 0.7424)  6 Pd 2.72-2.95, 4 Au 2.75-2.91, 1 In 2.82
Pd (0.0000, 0.7424, 0.2576)  6 Pd 2.72-2.95, 4 Au 2.75-2.91, 1 In 2.82
Pd (0.1716, 0.6016, 0.6016)  5 Pd 2.58-2.84, 1 Au 2.75
Pd (0.2576, 0.0000, 0.7424)  6 Pd 2.72-2.95, 4 Au 2.75-2.91, 1 In 2.82
Pd (0.2576, 0.7424, 0.0000)  6 Pd 2.72-2.95, 4 Au 2.75-2.91, 1 In 2.82
Pd (0.3984, 0.3984, 0.8284)  5 Pd 2.58-2.84, 1 Au 2.75
Pd (0.3984, 0.8284, 0.3984)  5 Pd 2.58-2.84, 1 Au 2.75
Pd (0.6016, 0.1716, 0.6016)  5 Pd 2.58-2.84, 1 Au 2.75
Pd (0.6016, 0.6016, 0.1716)  5 Pd 2.58-2.84, 1 Au 2.75
Pd (0.7425, 0.0000, 0.2576)  6 Pd 2.72-2.95, 4 Au 2.75-2.91, 1 In 2.82
Pd (0.7425, 0.2576, 0.0000)  6 Pd 2.72-2.95, 4 Au 2.75-2.91, 1 In 2.82
Pd (0.8284, 0.3984, 0.3984)  5 Pd 2.58-2.84, 1 Au 2.75
Au (0.1624, 0.1624, 0.4260)  5 Pd 2.75-3.01, 3 Au 2.89-2.94, 1 In 2.94
Au (0.1624, 0.4260, 0.1624)  5 Pd 2.75-3.01, 3 Au 2.89-2.94, 1 In 2.94
Au (0.4260, 0.1624, 0.1624)  5 Pd 2.75-3.01, 3 Au 2.89-2.94, 1 In 2.94
Au (0.5000, 0.5000, 0.5000)  6 Pd 2.75, 6 Au 2.94
Au (0.5740, 0.8376, 0.8376)  5 Pd 2.75-3.01, 3 Au 2.89-2.94, 1 In 2.94
Au (0.8376, 0.5740, 0.8376)  5 Pd 2.75-3.01, 3 Au 2.89-2.94, 1 In 2.94
Au (0.8376, 0.8376, 0.5740)  5 Pd 2.75-3.01, 3 Au 2.89-2.94, 1 In 2.94

Entry 9:
# InPd8Au2

InPd8Au2 after structural relaxation (PBE, Alexandria via LeMat-Bulk).

Lattice parameters (Å, degrees): 6.7597 6.7597 4.3520 90.00 90.00 105.90
With the nearest neighbours (Å) after each atom.
Atoms (fractional coordinates):
In (0.0000, 0.0000, 0.0000)  4 Pd 2.61-2.70
Pd (0.0358, 0.3001, 0.5000)  2 Au 2.71-2.96, 7 Pd 2.74-2.92, 2 In 2.94
Pd (0.2421, 0.7579, 0.0000)  2 Au 2.61, 1 In 2.61, 4 Pd 2.83
Pd (0.3001, 0.0358, 0.5000)  2 Au 2.71-2.96, 7 Pd 2.74-2.92, 2 In 2.94
Pd (0.3309, 0.3309, 0.0000)  1 In 2.70, 5 Pd 2.75-2.92, 4 Au 2.90
Pd (0.6691, 0.6691, 0.0000)  1 In 2.70, 5 Pd 2.75-2.92, 4 Au 2.90
Pd (0.6999, 0.9642, 0.5000)  2 Au 2.71-2.96, 7 Pd 2.74-2.92, 2 In 2.94
Pd (0.7579, 0.2421, 0.0000)  2 Au 2.61, 1 In 2.61, 4 Pd 2.83
Pd (0.9642, 0.6999, 0.5000)  2 Au 2.71-2.96, 7 Pd 2.74-2.92, 2 In 2.94
Au (0.3757, 0.6243, 0.5000)  8 Pd 2.61-2.90, 1 Au 2.68
Au (0.6243, 0.3757, 0.5000)  8 Pd 2.61-2.90, 1 Au 2.68

Entry 10:
# In2PdAu

In2PdAu after structural relaxation (PBE, Alexandria via LeMat-Bulk).

Lattice parameters (Å, degrees): 6.6925 6.6925 6.6925 35.08 35.08 35.08
With the nearest neighbours (Å) after each atom.
Atoms (fractional coordinates):
In (0.0000, 0.0000, 0.0000)  3 Pd 2.77, 3 Au 2.87
In (0.1783, 0.1783, 0.1783)  3 Pd 2.73, 3 Au 2.87
Pd (0.5870, 0.5870, 0.5870)  6 In 2.73-2.77
Au (0.4229, 0.4229, 0.4229)  6 In 2.87, 1 Pd 3.09

Entry 11:
# In3Pd2Au

In3Pd2Au after structural relaxation (PBE, Alexandria via LeMat-Bulk).

Lattice parameters (Å, degrees): 7.5790 7.5790 3.5436 90.00 90.00 145.86
With the nearest neighbours (Å) after each atom.
Atoms (fractional coordinates):
In (0.0000, 0.0000, 0.0000)  4 Au 2.84, 4 In 3.14
In (0.1788, 0.8212, 0.5000)  6 Pd 2.86-2.92, 4 In 3.03-3.14
In (0.8212, 0.1788, 0.5000)  6 Pd 2.86-2.92, 4 In 3.03-3.14
Pd (0.3390, 0.6610, 0.0000)  6 In 2.86-2.92, 2 Au 2.93
Pd (0.6610, 0.3390, 0.0000)  6 In 2.86-2.92, 2 Au 2.93
Au (0.5000, 0.5000, 0.5000)  4 In 2.84, 4 Pd 2.93

| no. | spin magnetization (μB/atom) | total energy (eV/atom) | calculated formation energy (eV per atom) |
| --- | --- | --- | --- |
| 1 | 0.00 | -4.642 | -0.074 |
| 2 | 0.00 | -4.380 | 0.130 |
| 3 | 0.00 | -3.551 | -0.134 |
| 4 | 0.00 | -4.528 | -0.428 |
| 5 | 0.00 | -4.873 | -0.227 |
| 6 | 0.00 | -4.685 | -0.420 |
| 7 | 0.00 | -3.569 | -0.187 |
| 8 | 0.00 | -4.446 | -0.046 |
| 9 | 0.00 | -4.642 | -0.021 |
| 10 | 0.00 | -3.713 | -0.226 |
| 11 | 0.00 | -3.942 | -0.295 |